# 1
# SrLaRuO6

A relaxed structure of SrLaRuO6 (PBE, the Alexandria database).

Its total energy is -6.962 eV/atom. Its energy relative to the elements, uncorrected is -1892 meV per atom.

It has space group P312 (No. 149), with a = 5.7340 Å, b = 5.7340 Å, c = 4.9087 Å, α = 90.00°, β = 90.00° and γ = 120.00°. The distinct sites, in fractional coordinates, are Sr at (0.0000, 0.0000, 0.0000), La at (0.6667, 0.3333, 0.5000), Ru at (0.3333, 0.6667, 0.0000) and O at (0.0503, 0.4029, 0.2249).

***

# 2
# SrLa2RuO8

A relaxed structure of SrLa2RuO8 (PBE, the Alexandria database).

Its total energy is -7.111 eV/atom. Its energy relative to the elements, uncorrected is -2071 meV per atom.

It has space group P-1 (No. 2), with a = 4.904 Å, b = 5.336 Å, c = 7.248 Å, α = 94.16°, β = 91.20° and γ = 90.92°. The distinct sites, in fractional coordinates, are Sr at (0.000, 0.000, 0.000), La at (0.458, 0.456, 0.750), Ru at (0.000, 0.000, 0.500), O at (0.091, 0.755, 0.299), O at (0.179, 0.819, 0.676), O at (0.315, 0.195, 0.464) and O at (0.384, 0.277, 0.016).